Zn2PtPb GGA-PBE relaxed; raw total energy = -3.0415 eV/atom; total moment = 0.0000 μB per atom; calculated formation energy = 0.033 eV per atom
1.0
2.837 -3.249 0.000
2.837 3.249 0.000
0.000 0.000 4.007
Zn Pt Pb
2 1 1
Direct
0.000 0.500 0.000
0.500 0.000 0.000
0.000 0.000 0.500
0.500 0.500 0.500

=====

Ac2La2Pr3 GGA-PBE relaxed; energy relative to the lowest polymorph listed for this composition = 0.0 meV per atom; raw total energy = -4.6074 eV/atom; total moment = 0.0000 μB per atom; calculated formation energy = 0.023 eV per atom
1.0
6.032 -2.685 0.000
6.032 2.685 0.000
-1.202 0.000 8.405
Ac La Pr
2 2 3
Direct
0.143 0.143 0.422
0.857 0.857 0.578
0.283 0.283 0.864
0.717 0.717 0.136
0.000 0.000 0.000
0.429 0.429 0.281
0.571 0.571 0.719

=====

Ac6TcSn2 GGA-PBE relaxed; raw total energy = -4.8301 eV/atom; total moment = 0.0069 μB per atom; calculated formation energy = -0.050 eV per atom
1.0
7.581 0.000 0.000
0.000 7.581 0.000
0.000 0.000 14.317
Ac Tc Sn
12 2 4
Direct
0.191 0.191 0.149
0.191 0.191 0.851
0.220 0.220 0.500
0.280 0.720 0.000
0.309 0.691 0.351
0.309 0.691 0.649
0.691 0.309 0.351
0.691 0.309 0.649
0.720 0.280 0.000
0.780 0.780 0.500
0.809 0.809 0.149
0.809 0.809 0.851
0.000 0.000 0.000
0.500 0.500 0.500
0.000 0.000 0.332
0.000 0.000 0.668
0.500 0.500 0.168
0.500 0.500 0.832

=====

Mn3AlSi GGA-PBE relaxed; formation energy from raw total energies = 0.488 eV per atom; raw total energy = -6.8469 eV/atom; total moment = 1.7503 μB per atom
1.0
4.360 0.000 0.000
0.000 4.360 0.000
0.000 0.000 4.360
Mn Al Si
3 1 1
Direct
0.000 0.000 0.500
0.000 0.500 0.000
0.500 0.000 0.000
0.500 0.500 0.500
0.000 0.000 0.000

=====

CeCu3Rh4O12 GGA-PBE relaxed; formation energy from raw total energies = -1.061 eV per atom; raw total energy = -6.4175 eV/atom; total moment = 0.0413 μB per atom
1.0
-3.767 3.767 3.767
3.767 -3.767 3.767
3.767 3.767 -3.767
Ce Cu Rh O
1 3 4 12
Direct
0.000 0.000 0.000
0.000 0.500 0.500
0.500 0.000 0.500
0.500 0.500 0.000
0.000 0.000 0.500
0.000 0.500 0.000
0.500 0.000 0.000
0.500 0.500 0.500
0.140 0.303 0.837
0.163 0.466 0.303
0.163 0.860 0.697
0.303 0.163 0.466
0.303 0.837 0.140
0.466 0.303 0.163
0.534 0.697 0.837
0.697 0.163 0.860
0.697 0.837 0.534
0.837 0.140 0.303
0.837 0.534 0.697
0.860 0.697 0.163

=====

CeNd12Dy7 GGA-PBE relaxed; energy relative to the lowest polymorph listed for this composition = 99.0 meV per atom; raw total energy = -4.5286 eV/atom; total moment = 0.0003 μB per atom; calculated formation energy = 0.240 eV per atom
1.0
9.823 5.671 2.070
-9.823 5.671 2.070
0.000 -11.342 2.070
Ce Nd Dy
1 12 7
Direct
0.000 0.000 0.000
0.071 0.425 0.426
0.088 0.500 0.912
0.088 0.912 0.500
0.425 0.426 0.071
0.426 0.071 0.425
0.500 0.088 0.912
0.500 0.912 0.088
0.574 0.929 0.575
0.575 0.574 0.929
0.912 0.088 0.500
0.912 0.500 0.088
0.929 0.575 0.574
0.119 0.362 0.120
0.120 0.119 0.362
0.362 0.120 0.119
0.500 0.500 0.500
0.638 0.880 0.881
0.880 0.881 0.638
0.881 0.638 0.880

=====

Mg2CdIn6Ga GGA-PBE relaxed; raw total energy = -2.3086 eV/atom; total moment = 0.0000 μB per atom; calculated formation energy = 0.048 eV per atom
1.0
7.124 0.000 0.000
0.000 7.379 0.000
-6.989 0.000 9.956
Mg Cd In Ga
4 2 12 2
Direct
0.172 0.135 0.115
0.172 0.365 0.615
0.828 0.635 0.385
0.828 0.865 0.885
0.000 0.000 0.500
0.000 0.500 0.000
0.050 0.100 0.772
0.050 0.400 0.272
0.364 0.734 0.626
0.364 0.766 0.126
0.490 0.631 0.904
0.490 0.869 0.404
0.510 0.131 0.596
0.510 0.369 0.096
0.636 0.234 0.874
0.636 0.266 0.374
0.950 0.600 0.728
0.950 0.900 0.228
0.500 0.000 0.000
0.500 0.500 0.500

=====

Pm4GeSe2N GGA-PBE relaxed; formation energy from raw total energies = -1.442 eV per atom; raw total energy = -6.3063 eV/atom; total moment = 0.0000 μB per atom
1.0
7.031 0.000 0.000
0.000 4.027 0.000
-2.332 0.000 6.835
Pm Ge Se N
4 1 2 1
Direct
0.220 0.000 0.212
0.238 0.500 0.772
0.762 0.500 0.228
0.780 0.000 0.788
0.500 0.000 0.000
0.000 0.000 0.500
0.500 0.500 0.500
0.000 0.500 0.000